1.
Density functional theory data (PBE) for a relaxed Sc3Os5 crystal.

```
Sc3Os5
1.0
6.376 0.000 0.000
0.000 8.934 0.000
0.000 0.000 4.472
Sc Os
6 10
Cartesian
0.000 0.000 0.000 Sc
0.000 2.220 2.236 Sc
0.000 6.713 2.236 Sc
3.188 2.246 2.236 Sc
3.188 4.467 0.000 Sc
3.188 6.687 2.236 Sc
0.000 4.467 0.000 Os
1.520 4.467 2.236 Os
1.594 2.233 0.000 Os
1.594 6.700 0.000 Os
1.667 0.000 2.236 Os
3.188 0.000 0.000 Os
4.708 0.000 2.236 Os
4.782 2.233 0.000 Os
4.782 6.700 0.000 Os
4.855 4.467 2.236 Os
```

## Properties
- ΔE to the lowest computed polymorph: 0.000 eV/atom
- Symmetry: Cmmm (65)

***

2.
Density functional theory data (PBE) for a relaxed Ce3Sm2HoSb6 crystal.

```
Ce3Sm2HoSb6
1.0
3.871 -6.704 0.000
3.871 6.704 0.000
-2.582 0.000 7.297
Ce Sm Ho Sb
3 2 1 6
Cartesian
0.000 0.000 0.000 Ce
3.871 2.254 0.000 Ce
3.871 -2.254 0.000 Ce
2.580 4.476 3.648 Sm
2.580 -4.476 3.648 Sm
2.580 0.000 3.648 Ho
1.306 2.210 1.849 Sb
0.030 0.000 5.460 Sb
1.306 -2.210 1.849 Sb
3.854 2.210 5.448 Sb
5.130 0.000 1.836 Sb
3.854 -2.210 5.448 Sb
```

## Properties
- E: -5.81 eV per atom
- Symmetry: C2/m (12)

***

3.
Density functional theory data (PBE) for a relaxed CuIr2Cl crystal.

```
CuIr2Cl
1.0
5.641 0.000 0.000
0.000 7.429 0.000
0.000 0.000 2.769
Cu Ir Cl
2 4 2
Cartesian
0.000 0.000 0.000 Cu
2.821 3.715 0.000 Cu
1.410 1.857 1.385 Ir
1.410 5.572 1.385 Ir
4.231 1.857 1.385 Ir
4.231 5.572 1.385 Ir
0.000 3.715 0.000 Cl
2.821 0.000 0.000 Cl
```

## Properties
- ΔE to the lowest computed polymorph: 0.663 eV/atom
- Symmetry: Cmmm (65)

***

4.
Density functional theory data (PBE) for a relaxed Tb2Ge5Ir3 crystal.

```
Tb2Ge5Ir3
1.0
2.116 -12.393 0.000
2.116 12.393 0.000
0.000 0.000 6.897
Tb Ge Ir
4 10 6
Cartesian
2.116 11.888 3.449 Tb
2.116 4.357 3.445 Tb
2.116 -4.357 6.893 Tb
2.116 -11.888 0.000 Tb
2.116 9.907 5.948 Ge
2.116 7.289 2.045 Ge
2.116 7.224 4.973 Ge
2.116 2.933 6.740 Ge
2.116 1.191 4.569 Ge
2.116 -1.191 1.120 Ge
2.116 -2.933 3.291 Ge
2.116 -7.224 1.525 Ge
2.116 -7.289 5.493 Ge
2.116 -9.907 2.500 Ge
2.116 9.762 1.592 Ir
2.116 5.489 0.068 Ir
2.116 1.339 1.942 Ir
2.116 -1.339 5.390 Ir
2.116 -5.489 3.517 Ir
2.116 -9.762 5.040 Ir
```

## Properties
- ΔE to the lowest computed polymorph: 0.023 eV/atom
- Symmetry: Cmc2_1 (36)